Entry 1:
The following is a PBE calculation of LaTb8Pr3 after structural relaxation, from the Alexandria database.

Properties
SG: I-42m
ρ, kg/m3: 6914
D(E_F), states/eV per cell: 17.27
Formation energy, eV per formula unit: 7.1
Total magnetization, Bohr magnetons per cell: 0.00
Uncorrected energy, eV per atom: -4.10
Crystal system: tetragonal

Cell lengths 8.430, 8.430, 8.430 Å; angles 117.12, 117.12, 95.07 degrees
Element x y z (fractional)
La  0.000  0.000  0.000
Tb  0.125  0.373  0.000
Tb  0.245  0.749  0.000
Tb  0.251  0.251  0.496
Tb  0.373  0.125  0.000
Tb  0.627  0.627  0.752
Tb  0.749  0.245  0.000
Tb  0.755  0.755  0.504
Tb  0.875  0.875  0.248
Pr  0.250  0.750  0.500
Pr  0.500  0.500  0.000
Pr  0.750  0.250  0.500


Entry 2:
The following is a PBE calculation of RbSbPI2 after structural relaxation, from the Alexandria database.

Properties
E_form (uncorrected), meV per atom: -138
SG: P4/mmm
ρ, kg/m3: 4284
D(E_F), states/eV per cell: 2.94
Total magnetization, Bohr magnetons per cell: 0.00
Uncorrected energy, eV per atom: -2.86
E above lowest polymorph, eV/f.u.: 0.00
Crystal system: tetragonal

Cell lengths 6.166, 6.166, 5.016 Å; angles 90.00, 90.00, 90.00 degrees
Element x y z (fractional)
Rb  0.000  0.000  0.000
Sb  0.500  0.500  0.000
P  0.500  0.500  0.500
I  0.000  0.500  0.500
I  0.500  0.000  0.500


Entry 3:
The following is a PBE calculation of Ba2IClO after structural relaxation, from the Alexandria database.

Properties
E_form (uncorrected), meV per atom: -2319
SG: C2/m
ρ, kg/m3: 4191
D(E_F), states/eV per cell: 0.00
Total magnetization, Bohr magnetons per cell: 0.00
Uncorrected energy, eV per atom: -4.76
Crystal system: monoclinic

Cell lengths 8.956, 8.956, 11.709 Å; angles 126.79, 126.79, 29.12 degrees
Element x y z (fractional)
Ba  0.081  0.081  0.315
Ba  0.365  0.365  0.943
Ba  0.635  0.635  0.057
Ba  0.919  0.919  0.685
I  0.306  0.306  0.371
I  0.694  0.694  0.629
Cl  0.143  0.143  0.882
Cl  0.857  0.857  0.118
O  0.452  0.452  0.826
O  0.548  0.548  0.174